No. 1
A plane-wave DFT calculation with GGA-PBE was carried out for a relaxed structure of LiY2CdHg4.

Values from the calculation:
Space group   R-3m (166)
Energy relative to the elements   -435 meV per atom

```
8
Lattice="2.525 1.458 8.277 -2.525 1.458 8.277 0.000 -2.916 8.277" Properties=species:S:1:pos:R:3 pbc="T T T"
Li 0.000 0.000 0.000
Y 0.000 0.000 6.143
Y 0.000 0.000 18.688
Cd 0.000 0.000 12.415
Hg 0.000 0.000 2.968
Hg 0.000 0.000 9.194
Hg 0.000 0.000 15.637
Hg 0.000 0.000 21.863
```

No. 2
A plane-wave DFT calculation with GGA-PBE was carried out for a relaxed structure of Be2TcP.

Values from the calculation:
Space group   F-43m (216)
Energy relative to the elements   161 meV per atom

```
4
Lattice="0.000 2.804 2.804 2.804 0.000 2.804 2.804 2.804 0.000" Properties=species:S:1:pos:R:3 pbc="T T T"
Be 0.000 0.000 0.000
Be 1.402 1.402 1.402
Tc 4.206 4.206 4.206
P 2.804 2.804 2.804
```

No. 3
A plane-wave DFT calculation with GGA-PBE was carried out for a relaxed structure of CaYGaPt.

Values from the calculation:
Polymorph energy (0 for the lowest one)   57 meV per atom
Space group   F-43m (216)
Energy relative to the elements   -767 meV per atom

```
4
Lattice="0.000 3.548 3.548 3.548 0.000 3.548 3.548 3.548 0.000" Properties=species:S:1:pos:R:3 pbc="T T T"
Ca 0.000 0.000 0.000
Y 3.548 3.548 3.548
Ga 1.774 1.774 1.774
Pt 5.321 5.321 5.321
```

No. 4
A plane-wave DFT calculation with GGA-PBE was carried out for a relaxed structure of Na3SmTl2O6.

Values from the calculation:
Formation energy from raw total energies   -1588 meV/atom
Space group   C2/m (12)

```
12
Lattice="2.968 -5.149 0.000 2.968 5.149 0.000 -1.955 0.000 5.668" Properties=species:S:1:pos:R:3 pbc="T T T"
Na 0.000 0.000 0.000
Na 2.968 1.804 0.000
Na 2.968 -1.804 0.000
Sm 1.990 0.000 2.834
Tl 1.990 3.438 2.834
Tl 1.990 -3.438 2.834
O 0.990 1.732 1.558
O -0.006 0.000 4.122
O 0.990 -1.732 1.558
O 2.990 1.732 4.111
O 3.986 0.000 1.547
O 2.990 -1.732 4.111
```

| no. | E (eV/atom) |
| --- | --- |
| 1 | -2.556 |
| 2 | -5.646 |
| 3 | -5.151 |
| 4 | -5.184 |